[1]
Entry from Alexandria via LeMat-Bulk: CoNi2Hg at its PBEsol-relaxed geometry (meta-GGA SCAN).

Computed properties:
The energy relative to the elements is 0.301 eV/atom. Its energy is -29.15 eV/atom.

```
data_CoNi2Hg
_symmetry_space_group_name_H-M 'C 1 2/m 1'
_symmetry_Int_Tables_number 12
_cell_length_a 8.350
_cell_length_b 2.710
_cell_length_c 4.614
_cell_angle_alpha 90.00
_cell_angle_beta 100.86
_cell_angle_gamma 90.00
loop_
_symmetry_equiv_pos_as_xyz
'x,y,z'
'-x,-y,-z'
'-x,y,-z'
'x,-y,z'
'x+1/2,y+1/2,z'
'-x+1/2,-y+1/2,-z'
'-x+1/2,y+1/2,-z'
'x+1/2,-y+1/2,z'
loop_
_atom_site_label
_atom_site_fract_x
_atom_site_fract_y
_atom_site_fract_z
_atom_site_occupancy
Co1 0.000 0.000 0.000 1
Ni1 0.242 0.500 0.214 1
Hg1 0.000 0.500 0.500 1
```

---

[2]
Entry from Alexandria via LeMat-Bulk: CaPt2Cl at its PBEsol-relaxed geometry (meta-GGA SCAN).

Computed properties:
As for the uncorrected formation energy: -0.74 eV per atom. The offset from the most stable computed form is 242.3 meV/atom. Its energy is -40.25 eV/atom.

```
data_CaPt2Cl
_symmetry_space_group_name_H-M 'P 1 2/m 1'
_symmetry_Int_Tables_number 10
_cell_length_a 2.985
_cell_length_b 5.480
_cell_length_c 4.439
_cell_angle_alpha 90.00
_cell_angle_beta 90.28
_cell_angle_gamma 90.00
loop_
_symmetry_equiv_pos_as_xyz
'x,y,z'
'-x,-y,-z'
'-x,y,-z'
'x,-y,z'
loop_
_atom_site_label
_atom_site_fract_x
_atom_site_fract_y
_atom_site_fract_z
_atom_site_occupancy
Ca1 0.000 0.000 0.000 1
Pt1 0.250 0.500 0.751 1
Cl1 0.500 0.000 0.500 1
```

---

[3]
Entry from Alexandria via LeMat-Bulk: Cu2Rh3 at its PBEsol-relaxed geometry (meta-GGA SCAN).

Computed properties:
The energy relative to the elements is 0.057 eV/atom. Its energy is -26.29 eV/atom.

```
data_Cu2Rh3
_symmetry_space_group_name_H-M 'R -3 m'
_symmetry_Int_Tables_number 166
_symmetry_space_group_name_Hall '-R 3 2"'
_cell_length_a 2.6410
_cell_length_b 2.6410
_cell_length_c 31.8002
_cell_angle_alpha 90.00
_cell_angle_beta 90.00
_cell_angle_gamma 120.00
loop_
_atom_site_label
_atom_site_fract_x
_atom_site_fract_y
_atom_site_fract_z
_atom_site_occupancy
Cu1 0.0000 0.0000 0.1006 1
Rh1 0.0000 0.0000 0.2994 1
Rh2 0.0000 0.0000 0.5000 1
```

---

[4]
Entry from Alexandria via LeMat-Bulk: Ca2BiAs2 at its PBEsol-relaxed geometry (meta-GGA SCAN).

Computed properties:
The offset from the most stable computed form is 312.9 meV/atom. The energy relative to the elements is -0.567 eV/atom. Its energy is -28.22 eV/atom.

```
data_Ca2BiAs2
_symmetry_space_group_name_H-M 'I 4/m m m'
_symmetry_Int_Tables_number 139
_symmetry_space_group_name_Hall '-I 4 2'
_cell_length_a 5.174
_cell_length_b 5.174
_cell_length_c 10.147
_cell_angle_alpha 90.00
_cell_angle_beta 90.00
_cell_angle_gamma 90.00
loop_
_atom_site_label
_atom_site_fract_x
_atom_site_fract_y
_atom_site_fract_z
_atom_site_occupancy
Ca1 0.000 0.500 0.250 1
Bi1 0.000 0.000 0.000 1
As1 0.000 0.000 0.382 1
```

---

[5]
Entry from Alexandria via LeMat-Bulk: MgGeO2F at its PBEsol-relaxed geometry (meta-GGA SCAN).

Computed properties:
As for the uncorrected formation energy: -1.52 eV per atom. Its energy is -9.54 eV/atom.

```
data_MgGeO2F
_symmetry_space_group_name_H-M 'P 4/m m m'
_symmetry_Int_Tables_number 123
_symmetry_space_group_name_Hall '-P 4 2'
_cell_length_a 3.918
_cell_length_b 3.918
_cell_length_c 3.732
_cell_angle_alpha 90.00
_cell_angle_beta 90.00
_cell_angle_gamma 90.00
loop_
_atom_site_label
_atom_site_fract_x
_atom_site_fract_y
_atom_site_fract_z
_atom_site_occupancy
Mg1 0.000 0.000 0.000 1
Ge1 0.500 0.500 0.500 1
O1 0.000 0.500 0.000 1
F1 0.000 0.000 0.500 1
```

---

[6]
Entry from Alexandria via LeMat-Bulk: LiBrCl at its PBEsol-relaxed geometry (meta-GGA SCAN).

Computed properties:
As for the uncorrected formation energy: -0.85 eV per atom. Its energy is -10.79 eV/atom.

```
data_LiBrCl
_symmetry_space_group_name_H-M 'F -4 3 m'
_symmetry_Int_Tables_number 216
_symmetry_space_group_name_Hall 'F -4 2 3'
_cell_length_a 6.380
_cell_length_b 6.380
_cell_length_c 6.380
_cell_angle_alpha 90.00
_cell_angle_beta 90.00
_cell_angle_gamma 90.00
loop_
_atom_site_label
_atom_site_fract_x
_atom_site_fract_y
_atom_site_fract_z
_atom_site_occupancy
Li1 0.000 0.000 0.000 1
Br1 0.250 0.250 0.250 1
Cl1 0.250 0.250 0.750 1
```

---

[7]
Entry from Alexandria via LeMat-Bulk: Rb3PdRh at its PBEsol-relaxed geometry (meta-GGA SCAN).

Computed properties:
The energy relative to the elements is 0.850 eV/atom. Its energy is -24.90 eV/atom.

```
data_Rb3PdRh
_symmetry_space_group_name_H-M 'P m -3 m'
_symmetry_Int_Tables_number 221
_symmetry_space_group_name_Hall '-P 4 2 3'
_cell_length_a 5.609
_cell_length_b 5.609
_cell_length_c 5.609
_cell_angle_alpha 90.00
_cell_angle_beta 90.00
_cell_angle_gamma 90.00
loop_
_atom_site_label
_atom_site_fract_x
_atom_site_fract_y
_atom_site_fract_z
_atom_site_occupancy
Rb1 0.000 0.000 0.500 1
Pd1 0.500 0.500 0.500 1
Rh1 0.000 0.000 0.000 1
```

---

[8]
Entry from Alexandria via LeMat-Bulk: MgTlN3 at its PBEsol-relaxed geometry (meta-GGA SCAN).

Computed properties:
As for the uncorrected formation energy: 1.46 eV per atom. Its energy is -19.58 eV/atom.

```
data_MgTlN3
_symmetry_space_group_name_H-M 'P m -3 m'
_symmetry_Int_Tables_number 221
_symmetry_space_group_name_Hall '-P 4 2 3'
_cell_length_a 4.088
_cell_length_b 4.088
_cell_length_c 4.088
_cell_angle_alpha 90.00
_cell_angle_beta 90.00
_cell_angle_gamma 90.00
loop_
_atom_site_label
_atom_site_fract_x
_atom_site_fract_y
_atom_site_fract_z
_atom_site_occupancy
Mg1 0.000 0.000 0.000 1
Tl1 0.500 0.500 0.500 1
N1 0.000 0.000 0.500 1
```

---

[9]
Entry from Alexandria via LeMat-Bulk: Lu2ZnOs at its PBEsol-relaxed geometry (meta-GGA SCAN).

Computed properties:
The energy relative to the elements is -0.529 eV/atom. Its energy is -49.55 eV/atom.

```
data_Lu2ZnOs
_symmetry_space_group_name_H-M 'F m -3 m'
_symmetry_Int_Tables_number 225
_symmetry_space_group_name_Hall '-F 4 2 3'
_cell_length_a 6.685
_cell_length_b 6.685
_cell_length_c 6.685
_cell_angle_alpha 90.00
_cell_angle_beta 90.00
_cell_angle_gamma 90.00
loop_
_atom_site_label
_atom_site_fract_x
_atom_site_fract_y
_atom_site_fract_z
_atom_site_occupancy
Lu1 0.250 0.250 0.250 1
Zn1 0.000 0.000 0.000 1
Os1 0.000 0.000 0.500 1
```

---

[10]
Entry from Alexandria via LeMat-Bulk: ReIrRh at its PBEsol-relaxed geometry (meta-GGA SCAN).

Computed properties:
The offset from the most stable computed form is 60.4 meV/atom. The energy relative to the elements is -0.120 eV/atom. Its energy is -58.78 eV/atom.

```
data_ReIrRh
_symmetry_space_group_name_H-M 'P 3 m 1'
_symmetry_Int_Tables_number 156
_cell_length_a 2.7075
_cell_length_b 2.7075
_cell_length_c 6.6470
_cell_angle_alpha 90.00
_cell_angle_beta 90.00
_cell_angle_gamma 120.00
loop_
_symmetry_equiv_pos_as_xyz
'x,y,z'
'-y,x-y,z'
'-x+y,-x,z'
'-y,-x,z'
'-x+y,y,z'
'x,x-y,z'
loop_
_atom_site_label
_atom_site_fract_x
_atom_site_fract_y
_atom_site_fract_z
_atom_site_occupancy
Re1 0.0000 0.0000 0.0000 1
Ir1 0.3333 0.6667 0.3278 1
Rh1 0.6667 0.3333 0.6724 1
```

---

[11]
Entry from Alexandria via LeMat-Bulk: Cd5Au at its PBEsol-relaxed geometry (meta-GGA SCAN).

Computed properties:
The offset from the most stable computed form is 28.6 meV/atom. The energy relative to the elements is -0.069 eV/atom. Its energy is -36.94 eV/atom.

```
data_Cd5Au
_symmetry_space_group_name_H-M 'C m m m'
_symmetry_Int_Tables_number 65
_symmetry_space_group_name_Hall '-C 2 2'
_cell_length_a 4.249
_cell_length_b 12.875
_cell_length_c 4.311
_cell_angle_alpha 90.00
_cell_angle_beta 90.00
_cell_angle_gamma 90.00
loop_
_atom_site_label
_atom_site_fract_x
_atom_site_fract_y
_atom_site_fract_z
_atom_site_occupancy
Cd1 0.000 0.000 0.000 1
Cd2 0.000 0.163 0.500 1
Cd3 0.000 0.336 0.000 1
Au1 0.000 0.500 0.500 1
```

---

[12]
Entry from Alexandria via LeMat-Bulk: MnHgSe2N at its PBEsol-relaxed geometry (meta-GGA SCAN).

Computed properties:
As for the uncorrected formation energy: 1.00 eV per atom. Its energy is -26.18 eV/atom.

```
data_MnHgSe2N
_symmetry_space_group_name_H-M 'P 4/m m m'
_symmetry_Int_Tables_number 123
_symmetry_space_group_name_Hall '-P 4 2'
_cell_length_a 5.270
_cell_length_b 5.270
_cell_length_c 4.009
_cell_angle_alpha 90.00
_cell_angle_beta 90.00
_cell_angle_gamma 90.00
loop_
_atom_site_label
_atom_site_fract_x
_atom_site_fract_y
_atom_site_fract_z
_atom_site_occupancy
Mn1 0.000 0.000 0.000 1
Hg1 0.500 0.500 0.500 1
Se1 0.000 0.500 0.500 1
N1 0.500 0.500 0.000 1
```